Record 1
## PmNd5Al6 (PBE-GGA)

Data for a relaxed PmNd5Al6 crystal.

a = 9.119 Å, b = 9.119 Å, c = 5.267 Å
α = 106.75°, β = 106.75°, γ = 120.04°
Atoms (fractional coordinates):
Pm  0.000  0.000  0.000
Nd  0.168  0.832  0.500
Nd  0.334  0.666  0.000
Nd  0.500  0.500  0.500
Nd  0.666  0.334  0.000
Nd  0.832  0.168  0.500
Al  0.082  0.414  0.248
Al  0.247  0.247  0.747
Al  0.414  0.082  0.248
Al  0.586  0.918  0.752
Al  0.753  0.753  0.253
Al  0.918  0.586  0.752

Magnetic moment: 0.000 Bohr magnetons per cell
Energy: -4.609 eV/atom
E_form: -354.9 meV per atom

Record 2
## K5As3Pt3 (PBE-GGA)

Data for a relaxed K5As3Pt3 crystal.

a = 10.243 Å, b = 10.243 Å, c = 4.581 Å
α = 90.00°, β = 90.00°, γ = 120.00°
Atoms (fractional coordinates):
K  0.000  0.731  0.000
K  0.269  0.269  0.000
K  0.333  0.667  0.000
K  0.667  0.333  0.000
K  0.731  0.000  0.000
As  0.000  0.364  0.000
As  0.364  0.000  0.000
As  0.636  0.636  0.000
Pt  0.000  0.361  0.500
Pt  0.361  0.000  0.500
Pt  0.639  0.639  0.500

Magnetic moment: 0.000 Bohr magnetons per cell
Energy: -3.757 eV/atom
E_form: -342.4 meV per atom

Record 3
## PrSmY2Sc2 (PBE-GGA)

Data for a relaxed PrSmY2Sc2 crystal.

a = 6.320 Å, b = 17.635 Å, c = 3.372 Å
α = 90.00°, β = 90.00°, γ = 90.00°
Atoms (fractional coordinates):
Pr  0.000  0.000  0.000
Pr  0.500  0.500  0.500
Sm  0.000  0.500  0.000
Sm  0.500  0.000  0.500
Y  0.217  0.193  0.000
Y  0.283  0.693  0.500
Y  0.717  0.307  0.500
Y  0.783  0.807  0.000
Sc  0.214  0.354  0.500
Sc  0.286  0.854  0.000
Sc  0.714  0.146  0.000
Sc  0.786  0.646  0.500

Magnetic moment: 0.001 Bohr magnetons per cell
Energy: -5.579 eV/atom
E_form: 269.2 meV per atom

Record 4
## Al2GaPt2 (PBE-GGA)

Data for a relaxed Al2GaPt2 crystal.

a = 3.792 Å, b = 3.792 Å, c = 11.975 Å
α = 90.00°, β = 90.00°, γ = 90.00°
Atoms (fractional coordinates):
Al  0.000  0.500  0.250
Al  0.000  0.500  0.750
Al  0.500  0.000  0.250
Al  0.500  0.000  0.750
Ga  0.000  0.000  0.000
Ga  0.500  0.500  0.500
Pt  0.000  0.000  0.385
Pt  0.000  0.000  0.615
Pt  0.500  0.500  0.115
Pt  0.500  0.500  0.885

Distance to the lowest polymorph of the same formula: 106.3 meV per atom
Magnetic moment: 0.000 Bohr magnetons per cell
Energy: -5.166 eV/atom
E_form: -647.1 meV per atom